Record 1
Below is a geometry-optimized Sm8SiSe3S4 structure, with properties calculated at the PBE level.

Calculated values
Energy relative to the elements, uncorrected (meV/atom): -1816
Density of states at the Fermi level (states/eV per cell): 18.1

a b c (Å): 8.2135 8.2135 20.0824
angles (deg): 90.00 90.00 120.00
Space group R-3m (No. 166, hexagonal axes)
Asymmetric unit:
Sm1 0.0000 0.0000 0.2425
Sm2 0.0114 0.5057 0.7531
Si1 0.0000 0.0000 0.0000
Se1 0.0000 0.5000 0.0000
S1 0.0000 0.0000 0.5000
S2 0.0000 0.5000 0.5000


Record 2
Below is a geometry-optimized NpAs2Pd3 structure, with properties calculated at the PBE level.

Calculated values
Density of states at the Fermi level (states/eV per cell): 48.8
Formation energy (eV/atom): -0.484

a b c (Å): 15.306 4.298 7.560
angles (deg): 90.00 119.11 90.00
Space group C2/m (No. 12)
Asymmetric unit:
Np1 0.142 0.000 0.066
As1 0.005 0.500 0.178
As2 0.205 0.000 0.758
Pd1 0.059 0.000 0.384
Pd2 0.108 0.500 0.671
Pd3 0.189 0.500 0.409


Record 3
Below is a geometry-optimized Sr2Ga2Si structure, with properties calculated at the PBE level.

Calculated values
Energy relative to the elements, uncorrected (meV/atom): -266
Density of states at the Fermi level (states/eV per cell): 5.1

a b c (Å): 7.241 7.241 4.958
angles (deg): 90.00 90.00 90.00
Space group P4/mbm (No. 127)
Asymmetric unit:
Sr1 0.181 0.319 0.000
Ga1 0.127 0.627 0.500
Si1 0.000 0.000 0.500


Record 4
Below is a geometry-optimized PbNCl structure, with properties calculated at the PBE level.

Calculated values
Energy relative to the elements, uncorrected (meV/atom): -389
Density of states at the Fermi level (states/eV per cell): 3.9

a b c (Å): 9.639 3.567 11.759
angles (deg): 90.00 96.18 90.00
Space group P2_1/c (No. 14)
Asymmetric unit:
Pb1 0.103 0.248 0.102
N1 0.456 0.037 0.025
Cl1 0.153 0.732 0.828